Record 1
The following is a GGA-PBE calculation of PuNb3O9 after structural relaxation, from Alexandria via LeMat-Bulk.

Cell: 5.3943 7.5948 8.3907 Å, 90.00 91.88 90.00°
With the nearest neighbours (Å) after each atom.
Element x y z (fractional)
Pu 0.0327 0.2500 0.4418  8 O 2.38-2.56
Pu 0.9673 0.7500 0.5582  8 O 2.38-2.56
Nb 0.0000 0.0000 0.0000  6 O 1.97-2.05
Nb 0.0000 0.5000 0.0000  6 O 1.97-2.05
Nb 0.4762 0.0071 0.7005  5 O 1.86-2.05
Nb 0.4762 0.4929 0.7005  5 O 1.86-2.05
Nb 0.5238 0.5071 0.2995  5 O 1.86-2.05
Nb 0.5238 0.9929 0.2995  5 O 1.86-2.05
O 0.0923 0.2500 0.9801  2 Nb 1.97
O 0.1508 0.5612 0.7858  2 Nb 1.99-2.05
O 0.1508 0.9388 0.7858  2 Nb 1.99-2.05
O 0.2585 0.5411 0.4663  2 Nb 2.05-2.29
O 0.2585 0.9589 0.4663  2 Nb 2.05-2.29
O 0.3235 0.5527 0.1203  2 Nb 1.86-2.03
O 0.3235 0.9473 0.1203  2 Nb 1.86-2.03
O 0.3431 0.2500 0.6555  2 Nb 2.01
O 0.4297 0.2500 0.3131  2 Nb 2.02
O 0.5703 0.7500 0.6869  2 Nb 2.02
O 0.6569 0.7500 0.3445  2 Nb 2.01
O 0.6765 0.0527 0.8797  2 Nb 1.86-2.03
O 0.6765 0.4473 0.8797  2 Nb 1.86-2.03
O 0.7415 0.0411 0.5337  2 Nb 2.05-2.29
O 0.7415 0.4589 0.5337  2 Nb 2.05-2.29
O 0.8492 0.0612 0.2142  2 Nb 1.99-2.05
O 0.8492 0.4388 0.2142  2 Nb 1.99-2.05
O 0.9077 0.7500 0.0199  2 Nb 1.97

## Properties
- Symmetry: P2_1/m (11)

Record 2
The following is a GGA-PBE calculation of PuNbO2 after structural relaxation, from Alexandria via LeMat-Bulk.

Cell: 5.4558 5.4558 5.4558 Å, 36.56 36.56 36.56°
With the nearest neighbours (Å) after each atom.
Element x y z (fractional)
Pu 0.0000 0.0000 0.0000  6 O 2.43
Nb 0.5000 0.5000 0.5000  6 O 2.28
O 0.2406 0.2406 0.2406  3 Nb 2.28, 3 Pu 2.43
O 0.7594 0.7594 0.7594  3 Nb 2.28, 3 Pu 2.43

## Properties
- Symmetry: R-3m (166)

Formation energy (no corrections) values, unit meV/atom, following the record order: -2650, -1931.
Total moment values, unit Bohr magnetons per cell, following the record order: 10.029, 4.347.